No. 1
Ce2PbS4: optimized geometry, GGA-PBE.

```
data_Ce2PbS4
_space_group_name_H-M_alt 'C 1 2/m 1'
_space_group_IT_number 12
_cell_length_a 15.274
_cell_length_b 4.161
_cell_length_c 7.264
_cell_angle_alpha 90.00
_cell_angle_beta 116.55
_cell_angle_gamma 90.00
loop_
_space_group_symop_operation_xyz
'x,y,z'
'-x,-y,-z'
'-x,y,-z'
'x,-y,z'
'x+1/2,y+1/2,z'
'-x+1/2,-y+1/2,-z'
'-x+1/2,y+1/2,-z'
'x+1/2,-y+1/2,z'
loop_
_atom_site_label
_atom_site_type_symbol
_atom_site_fract_x
_atom_site_fract_y
_atom_site_fract_z
_atom_site_occupancy
Ce1 Ce 0.226 0.000 0.221 1
Pb1 Pb 0.000 0.500 0.500 1
S1 S 0.136 0.500 0.947 1
S2 S 0.148 0.000 0.508 1
```

## Properties
**Uncorrected formation energy**: -1.502 eV/atom



No. 2
Tb5TmMg4: optimized geometry, GGA-PBE.

```
data_Tb5TmMg4
_space_group_name_H-M_alt 'P 4/m m m'
_space_group_IT_number 123
_space_group_name_Hall '-P 4 2'
_cell_length_a 3.738
_cell_length_b 3.738
_cell_length_c 20.175
_cell_angle_alpha 90.00
_cell_angle_beta 90.00
_cell_angle_gamma 90.00
loop_
_atom_site_label
_atom_site_type_symbol
_atom_site_fract_x
_atom_site_fract_y
_atom_site_fract_z
_atom_site_occupancy
Tb1 Tb 0.000 0.000 0.000 1
Tb2 Tb 0.000 0.000 0.191 1
Tb3 Tb 0.000 0.000 0.385 1
Tm1 Tm 0.500 0.500 0.500 1
Mg1 Mg 0.500 0.500 0.096 1
Mg2 Mg 0.500 0.500 0.287 1
```

## Properties
**Energy of formation**: -57 meV/atom



No. 3
NdSn3Ir3: optimized geometry, GGA-PBE.

```
data_NdSn3Ir3
_space_group_name_H-M_alt 'P m -3 n'
_space_group_IT_number 223
_space_group_name_Hall '-P 4n 2 3'
_cell_length_a 7.227
_cell_length_b 7.227
_cell_length_c 7.227
_cell_angle_alpha 90.00
_cell_angle_beta 90.00
_cell_angle_gamma 90.00
loop_
_atom_site_label
_atom_site_type_symbol
_atom_site_fract_x
_atom_site_fract_y
_atom_site_fract_z
_atom_site_occupancy
Nd1 Nd 0.000 0.000 0.000 1
Sn1 Sn 0.000 0.250 0.500 1
Ir1 Ir 0.000 0.500 0.250 1
```

## Properties
**Energy of formation**: 181 meV/atom



Number 1: volume 29.49 Å³/atom, density 4.95 g/cm³, raw total energy -42.60 eV per formula unit. Number 2: volume 28.19 Å³/atom, density 6.25 g/cm³, raw total energy -34.57 eV per formula unit. Number 3: volume 26.96 Å³/atom, density 9.48 g/cm³, raw total energy -42.09 eV per formula unit.